Entry 1:
## BeNi2Rh (PBE-GGA)

Data for crystalline BeNi2Rh at its relaxed geometry.

Cell lengths 2.7250, 4.0905, 7.9415 Å; angles 90.00, 90.00, 90.00 degrees
Last column: nearest neighbours and their distance in Å.
Space group Imm2 (No. 44)
Inequivalent atoms, fractional coordinates:
Be (0.0000, 0.0000, 0.0000) (multiplicity 2)  2 Ni 2.19, 2 Rh 2.29
Ni (0.0000, 0.0000, 0.4885) (multiplicity 2)  4 Be 2.46, 6 Ni 2.56-2.73, 4 Rh 2.60-2.69
Ni (0.0000, 0.5000, 0.7160) (multiplicity 2)  2 Be 2.19
Rh (0.0000, 0.5000, 0.2679) (multiplicity 2)  2 Be 2.29, 4 Ni 2.49

DFT total energy	-5.80	eV per atom
D(E_F)	1.40	states/eV/atom
size of the total moment	0.72	μB/f.u.
energy relative to the elements	-145	meV per atom

---

Entry 2:
## LiAcSn2Pd (PBE-GGA)

Data for crystalline LiAcSn2Pd at its relaxed geometry.

Cell lengths 4.6519, 4.6519, 11.3107 Å; angles 90.00, 90.00, 90.00 degrees
Last column: nearest neighbours and their distance in Å.
Space group I-4m2 (No. 119)
Inequivalent atoms, fractional coordinates:
Li (0.0000, 0.0000, 0.0000) (multiplicity 2)  4 Sn 2.71
Ac (0.0000, 0.5000, 0.2500) (multiplicity 2)  8 Sn 3.59, 4 Li 3.66, 4 Pd 3.66
Sn (0.0000, 0.5000, 0.6228) (multiplicity 4)  2 Li 2.71, 2 Pd 2.71, 1 Sn 2.88
Pd (0.0000, 0.0000, 0.5000) (multiplicity 2)  4 Sn 2.71

DFT total energy	-4.54	eV per atom
D(E_F)	0.55	states/eV/atom
size of the total moment	0.00	μB/f.u.
energy relative to the elements	-692	meV per atom